Entry 1:
DFT (GGA-PBE) results for a relaxed NiSbW3 crystal.

```
data_NiSbW3
_chemical_formula_sum 'Ni1 Sb1 W3'
_space_group_name_H-M_alt 'P 1'
_space_group_IT_number 1
_cell_length_a 4.851
_cell_length_b 4.851
_cell_length_c 4.851
_cell_angle_alpha 90.00
_cell_angle_beta 90.00
_cell_angle_gamma 90.00
loop_
_space_group_symop_operation_xyz
'x,y,z'
loop_
_atom_site_label
_atom_site_fract_x
_atom_site_fract_y
_atom_site_fract_z
Ni1 0.000 0.000 0.000
Sb1 0.500 0.500 0.500
W1 0.000 0.500 0.500
W2 0.500 0.000 0.500
W3 0.500 0.500 0.000
```

Formation energy from raw total energies (eV per atom): 2.90
Excess energy over the best structure of this formula in the dataset (meV/atom): 1406
Space group: Pm-3m, No. 221


Entry 2:
DFT (GGA-PBE) results for a relaxed Ni3HW crystal.

```
data_Ni3HW
_chemical_formula_sum 'Ni3 H1 W1'
_space_group_name_H-M_alt 'P 1'
_space_group_IT_number 1
_cell_length_a 4.559
_cell_length_b 4.559
_cell_length_c 4.559
_cell_angle_alpha 90.00
_cell_angle_beta 90.00
_cell_angle_gamma 90.00
loop_
_space_group_symop_operation_xyz
'x,y,z'
loop_
_atom_site_label
_atom_site_fract_x
_atom_site_fract_y
_atom_site_fract_z
Ni1 0.000 0.000 0.500
Ni2 0.000 0.500 0.000
Ni3 0.500 0.000 0.000
H1 0.500 0.500 0.500
W1 0.000 0.000 0.000
```

Excess energy over the best structure of this formula in the dataset (meV/atom): 1804
Space group: Pm-3m, No. 221


Entry 3:
DFT (GGA-PBE) results for a relaxed KZrCu2Se4 crystal.

```
data_KZrCu2Se4
_chemical_formula_sum 'K1 Zr1 Cu2 Se4'
_space_group_name_H-M_alt 'P 1'
_space_group_IT_number 1
_cell_length_a 6.798
_cell_length_b 6.798
_cell_length_c 6.798
_cell_angle_alpha 124.57
_cell_angle_beta 106.59
_cell_angle_gamma 98.46
loop_
_space_group_symop_operation_xyz
'x,y,z'
loop_
_atom_site_label
_atom_site_fract_x
_atom_site_fract_y
_atom_site_fract_z
K1 0.000 0.000 0.000
Zr1 0.500 0.500 0.000
Cu1 0.362 0.862 0.500
Cu2 0.638 0.138 0.500
Se1 0.147 0.106 0.583
Se2 0.477 0.894 0.041
Se3 0.523 0.564 0.417
Se4 0.853 0.436 0.959
```

Formation energy from raw total energies (eV per atom): -0.67
Space group: I222, No. 23


Entry 4:
DFT (GGA-PBE) results for a relaxed LaCuTc2 crystal.

```
data_LaCuTc2
_chemical_formula_sum 'La1 Cu1 Tc2'
_space_group_name_H-M_alt 'P 1'
_space_group_IT_number 1
_cell_length_a 4.781
_cell_length_b 4.781
_cell_length_c 4.781
_cell_angle_alpha 126.21
_cell_angle_beta 118.57
_cell_angle_gamma 86.05
loop_
_space_group_symop_operation_xyz
'x,y,z'
loop_
_atom_site_label
_atom_site_fract_x
_atom_site_fract_y
_atom_site_fract_z
La1 0.000 0.000 0.000
Cu1 0.730 0.230 0.500
Tc1 0.289 0.789 0.500
Tc2 0.477 0.477 0.000
```

Excess energy over the best structure of this formula in the dataset (meV/atom): 298
Space group: Imm2, No. 44
Calculated formation energy (eV per atom): 0.35


| no. | total DFT energy (no corrections) (eV/atom) |
| --- | --- |
| 1 | -6.8484 |
| 2 | -4.7258 |
| 3 | -4.6460 |
| 4 | -7.0865 |